Here is crystalline Nd3Y2Ho5 at its relaxed geometry from Alexandria via LeMat-Bulk. Energies are from GGA-PBE.

Calculated values
Formation enthalpy at 0 K = 0.19 eV per atom
V = 1333 Å³ per cell
VASP energy = -192.73 eV for the cell shown
Density of states at the Fermi level = 72.045 states/eV/cell

Cell: 10.7357 15.8410 9.4879 Å, 90.00 124.29 90.00°
Space group C2/c (No. 15)
Symmetry-distinct sites (fractional):
Nd (0.0000, 0.2326, 0.2500) (multiplicity 4)
Nd (0.1458, 0.1241, 0.0472) (multiplicity 8)
Y (0.1511, 0.3819, 0.5469) (multiplicity 8)
Ho (0.0000, 0.0249, 0.2500) (multiplicity 4)
Ho (0.0000, 0.2708, 0.7500) (multiplicity 4)
Ho (0.0000, 0.4706, 0.7500) (multiplicity 4)
Ho (0.2410, 0.3860, 0.2329) (multiplicity 8)